## ErSc2SnRh4 (PBE-GGA)

Data for an optimized crystal structure of ErSc2SnRh4.

The calculated formation energy is -909 meV/atom. As for the space group: R-3m (166). The total energy comes out at -7.24 eV/atom.

Cell: 8.0327 8.0327 8.0327 Å, 33.40 33.40 33.40°
Element x y z (fractional)
Er 0.0000 0.0000 0.0000
Sc 0.2461 0.2461 0.2461
Sc 0.7539 0.7539 0.7539
Sn 0.5000 0.5000 0.5000
Rh 0.1252 0.1252 0.1252
Rh 0.3769 0.3769 0.3769
Rh 0.6231 0.6231 0.6231
Rh 0.8748 0.8748 0.8748

=====

## Er2ScSn2Rh5 (PBE-GGA)

Data for an optimized crystal structure of Er2ScSn2Rh5.

The calculated formation energy is -662 meV/atom. As for the space group: P4/mbm (127). The total energy comes out at -6.68 eV/atom.

Cell: 10.1218 10.1218 3.7277 Å, 90.00 90.00 90.00°
Element x y z (fractional)
Er 0.1690 0.3310 0.0000
Er 0.3310 0.8310 0.0000
Er 0.6690 0.1690 0.0000
Er 0.8310 0.6690 0.0000
Sc 0.0000 0.0000 0.0000
Sc 0.5000 0.5000 0.0000
Sn 0.1300 0.6300 0.0000
Sn 0.3700 0.1300 0.0000
Sn 0.6300 0.8700 0.0000
Sn 0.8700 0.3700 0.0000
Rh 0.0000 0.5000 0.5000
Rh 0.0608 0.7995 0.5000
Rh 0.2005 0.0608 0.5000
Rh 0.2995 0.5608 0.5000
Rh 0.4392 0.2995 0.5000
Rh 0.5000 0.0000 0.5000
Rh 0.5608 0.7005 0.5000
Rh 0.7005 0.4392 0.5000
Rh 0.7995 0.9392 0.5000
Rh 0.9392 0.2005 0.5000

=====

## TbErScRh (PBE-GGA)

Data for an optimized crystal structure of TbErScRh.

The calculated formation energy is -200 meV/atom. As for the space group: F-43m (216). The total energy comes out at -5.92 eV/atom.

Cell: 7.1544 7.1544 7.1544 Å, 90.00 90.00 90.00°
Element x y z (fractional)
Tb 0.0000 0.0000 0.0000
Tb 0.0000 0.5000 0.5000
Tb 0.5000 0.0000 0.5000
Tb 0.5000 0.5000 0.0000
Er 0.0000 0.0000 0.5000
Er 0.0000 0.5000 0.0000
Er 0.5000 0.0000 0.0000
Er 0.5000 0.5000 0.5000
Sc 0.2500 0.2500 0.2500
Sc 0.2500 0.7500 0.7500
Sc 0.7500 0.2500 0.7500
Sc 0.7500 0.7500 0.2500
Rh 0.2500 0.2500 0.7500
Rh 0.2500 0.7500 0.2500
Rh 0.7500 0.2500 0.2500
Rh 0.7500 0.7500 0.7500